1:
Here is a relaxed structure of BaTaBeIr from OQMD via LeMat-Bulk. Energies are from PBE.

Computed properties:
Mass density (g/cm³): 10.6

a b c (Å): 6.886 6.886 6.886
angles (deg): 90.00 90.00 90.00
Space group F-43m (No. 216)
One atom of each set of equivalent atoms:
Ba: 0.000 0.000 0.000 x4
Ta: 0.000 0.000 0.500 x4
Be: 0.250 0.250 0.250 x4
Ir: 0.250 0.250 0.750 x4

2:
Here is a relaxed structure of BaTaBeIr from OQMD via LeMat-Bulk. Energies are from PBE.

Computed properties:
Mass density (g/cm³): 11.6

a b c (Å): 6.683 6.683 6.683
angles (deg): 90.00 90.00 90.00
Space group F-43m (No. 216)
One atom of each set of equivalent atoms:
Ba: 0.000 0.000 0.000 x4
Ta: 0.250 0.250 0.250 x4
Be: 0.250 0.250 0.750 x4
Ir: 0.000 0.000 0.500 x4

3:
Here is a relaxed structure of BaTaBeIr from OQMD via LeMat-Bulk. Energies are from PBE.

Computed properties:
Mass density (g/cm³): 11.7

a b c (Å): 6.651 6.651 6.651
angles (deg): 90.00 90.00 90.00
Space group F-43m (No. 216)
One atom of each set of equivalent atoms:
Ba: 0.000 0.000 0.000 x4
Ta: 0.250 0.250 0.750 x4
Be: 0.000 0.000 0.500 x4
Ir: 0.250 0.250 0.250 x4

Which structure wins on stability? 2 wins.

1:
Here is a relaxed structure of BaBeNb from OQMD via LeMat-Bulk. Energies are from PBE.

Computed properties:
Mass density (g/cm³): 4.9

a b c (Å): 6.852 6.852 6.852
angles (deg): 90.00 90.00 90.00
Space group F-43m (No. 216)
One atom of each set of equivalent atoms:
Ba: 0.000 0.000 0.000 x4
Be: 0.250 0.250 0.750 x4
Nb: 0.250 0.250 0.250 x4

2:
Here is a relaxed structure of BaBeNb from OQMD via LeMat-Bulk. Energies are from PBE.

Computed properties:
Mass density (g/cm³): 4.8

a b c (Å): 6.923 6.923 6.923
angles (deg): 90.00 90.00 90.00
Space group F-43m (No. 216)
One atom of each set of equivalent atoms:
Ba: 0.000 0.000 0.000 x4
Be: 0.250 0.250 0.250 x4
Nb: 0.000 0.000 0.500 x4

Which structure wins on stability? 2 wins.

1:
Here is a relaxed structure of BaBeNi from OQMD via LeMat-Bulk. Energies are from PBE.

Computed properties:
Mass density (g/cm³): 3.8

a b c (Å): 7.093 7.093 7.093
angles (deg): 90.00 90.00 90.00
Space group F-43m (No. 216)
One atom of each set of equivalent atoms:
Ba: 0.000 0.000 0.000 x4
Be: 0.250 0.250 0.750 x4
Ni: 0.250 0.250 0.250 x4

2:
Here is a relaxed structure of BaBeNi from OQMD via LeMat-Bulk. Energies are from PBE.

Computed properties:
Mass density (g/cm³): 4.5

a b c (Å): 6.707 6.707 6.707
angles (deg): 90.00 90.00 90.00
Space group F-43m (No. 216)
One atom of each set of equivalent atoms:
Ba: 0.000 0.000 0.000 x4
Be: 0.000 0.000 0.500 x4
Ni: 0.250 0.250 0.250 x4

Which structure wins on stability? 2 wins.